YTlVO4, optimized geometry, DFT PBE+U; space group = P2_1/m; calculated total energy = -7.33 eV per atom
1.0
6.052 0.000 0.201
0.000 5.943 0.000
-2.149 0.000 7.269
O Tl V Y
8 2 2 2
Direct
0.487 0.750 0.576
0.923 0.475 0.656
0.488 0.750 0.207
0.513 0.250 0.424
0.077 0.525 0.344
0.923 0.025 0.656
0.512 0.250 0.793
0.077 0.975 0.344
0.718 0.750 0.910
0.282 0.250 0.090
0.697 0.250 0.643
0.303 0.750 0.357
0.177 0.250 0.554
0.823 0.750 0.446